A relaxed structure of CsZnAgAs. Source: Alexandria via LeMat-Bulk, functional GGA-PBE.

V: 117.4 Å³/f.u.
Total DFT energy (no corrections): -2.603 eV/atom
Energy relative to the elements: -0.196 eV per atom

Geometry as CIF:
```
data_CsZnAgAs
_space_group_name_H-M_alt 'P 4/n m m'
_space_group_IT_number 129
_cell_length_a 4.0865
_cell_length_b 4.0865
_cell_length_c 14.0564
_cell_angle_alpha 90.00
_cell_angle_beta 90.00
_cell_angle_gamma 90.00
loop_
_space_group_symop_operation_xyz
'x,y,z'
'-x,-y,-z'
'-y+1/2,x,z'
'y+1/2,-x,-z'
'-x+1/2,-y+1/2,z'
'x+1/2,y+1/2,-z'
'y,-x+1/2,z'
'-y,x+1/2,-z'
'x+1/2,-y,-z'
'-x+1/2,y,z'
'-y,-x,-z'
'y,x,z'
'-x,y+1/2,-z'
'x,-y+1/2,z'
'y+1/2,x+1/2,-z'
'-y+1/2,-x+1/2,z'
loop_
_atom_site_label
_atom_site_type_symbol
_atom_site_fract_x
_atom_site_fract_y
_atom_site_fract_z
Cs1 Cs 0.2500 0.2500 0.2377
Zn1 Zn 0.2500 0.7500 0.5000
Ag1 Ag 0.2500 0.7500 0.0000
As1 As 0.2500 0.2500 0.6107
```

A relaxed structure of Cs2ZnAgAs2. Source: Alexandria via LeMat-Bulk, functional GGA-PBE.

V: 188.2 Å³/f.u.
Total DFT energy (no corrections): -2.802 eV/atom
Energy relative to the elements: -0.280 eV per atom

Geometry as CIF:
```
data_Cs2ZnAgAs2
_space_group_name_H-M_alt 'I b a m'
_space_group_IT_number 72
_space_group_name_Hall '-I 2 2c'
_cell_length_a 6.5493
_cell_length_b 17.7625
_cell_length_c 6.4711
_cell_angle_alpha 90.00
_cell_angle_beta 90.00
_cell_angle_gamma 90.00
loop_
_atom_site_label
_atom_site_type_symbol
_atom_site_fract_x
_atom_site_fract_y
_atom_site_fract_z
Cs1 Cs 0.2397 0.1649 0.0000
Zn1 Zn 0.0000 0.5000 0.2500
Ag1 Ag 0.0000 0.0000 0.2500
As1 As 0.2296 0.4223 0.0000
```

A relaxed structure of CuAg3As. Source: Alexandria via LeMat-Bulk, functional GGA-PBE.

Offset from the most stable computed form: 79 meV per atom
V: 107.8 Å³/f.u.
Total DFT energy (no corrections): -2.769 eV/atom
Energy relative to the elements: 0.691 eV per atom

Geometry as CIF:
```
data_CuAg3As
_space_group_name_H-M_alt 'P m -3 m'
_space_group_IT_number 221
_space_group_name_Hall '-P 4 2 3'
_cell_length_a 4.7589
_cell_length_b 4.7589
_cell_length_c 4.7589
_cell_angle_alpha 90.00
_cell_angle_beta 90.00
_cell_angle_gamma 90.00
loop_
_atom_site_label
_atom_site_type_symbol
_atom_site_fract_x
_atom_site_fract_y
_atom_site_fract_z
Cu1 Cu 0.0000 0.0000 0.0000
Ag1 Ag 0.0000 0.0000 0.5000
As1 As 0.5000 0.5000 0.5000
```